1.
Entry from Alexandria via LeMat-Bulk: a relaxed structure of TmGaCo3 (GGA-PBE).

Cell: 7.597 7.597 4.571 Å, 90.00 90.00 144.41°
Fractional coordinates of all 10 atoms:
1 Tm 0.198 0.802 0.750
2 Tm 0.802 0.198 0.250
3 Ga 0.438 0.562 0.250
4 Ga 0.562 0.438 0.750
5 Co 0.000 0.000 0.000
6 Co 0.000 0.000 0.500
7 Co 0.148 0.381 0.750
8 Co 0.381 0.148 0.250
9 Co 0.619 0.852 0.750
10 Co 0.852 0.619 0.250

Results
total magnetic moment: 5.46 μB per cell
energy: -58.79 eV/cell
calculated volume: 154 Å³ per cell

=====

2.
Entry from Alexandria via LeMat-Bulk: a relaxed structure of Tm2GaCo (GGA-PBE).

Cell: 9.375 9.375 9.375 Å, 22.38 22.38 22.38°
Fractional coordinates of all 4 atoms:
1 Tm 0.111 0.111 0.111
2 Tm 0.889 0.889 0.889
3 Ga 0.000 0.000 0.000
4 Co 0.500 0.500 0.500

Results
total magnetic moment: 0.00 μB per cell
energy: -18.86 eV/cell
calculated volume: 105 Å³ per cell

=====

3.
Entry from Alexandria via LeMat-Bulk: a relaxed structure of Tm3Ga4Co4 (GGA-PBE).

Cell: 7.788 7.788 7.788 Å, 148.93 131.35 58.86°
Fractional coordinates of all 11 atoms:
1 Tm 0.000 0.000 0.000
2 Tm 0.363 0.863 0.500
3 Tm 0.637 0.137 0.500
4 Ga 0.211 0.211 0.000
5 Ga 0.304 0.500 0.804
6 Ga 0.696 0.500 0.196
7 Ga 0.789 0.789 0.000
8 Co 0.023 0.327 0.696
9 Co 0.369 0.673 0.696
10 Co 0.631 0.327 0.304
11 Co 0.977 0.673 0.304

Results
total magnetic moment: 0.42 μB per cell
energy: -58.50 eV/cell
calculated volume: 182 Å³ per cell

=====

4.
Entry from Alexandria via LeMat-Bulk: a relaxed structure of Tm3GaCo8 (GGA-PBE).

Cell: 8.596 8.596 8.596 Å, 33.44 33.44 33.44°
Fractional coordinates of all 12 atoms:
1 Tm 0.000 0.000 0.000
2 Tm 0.128 0.128 0.128
3 Tm 0.618 0.618 0.618
4 Ga 0.496 0.496 0.496
5 Co 0.061 0.061 0.559
6 Co 0.061 0.559 0.061
7 Co 0.066 0.562 0.562
8 Co 0.312 0.312 0.312
9 Co 0.559 0.061 0.061
10 Co 0.562 0.066 0.562
11 Co 0.562 0.562 0.066
12 Co 0.813 0.813 0.813

Results
total magnetic moment: 8.54 μB per cell
energy: -76.14 eV/cell
calculated volume: 172 Å³ per cell